one:
Here is crystalline BaMg2Sc at its relaxed geometry from Alexandria via LeMat-Bulk. Energies are from PBEsol.

Cell lengths 3.7482, 3.7482, 8.4344 Å; angles 90.00, 90.00, 90.00 degrees
Closest atoms and distances in Å follow each position.
Positions (direct):
1 Mg 0.0000 0.0000 0.1948  4 Sc 3.12, 1 Mg 3.29
2 Mg 0.0000 0.0000 0.8052  4 Sc 3.12, 1 Mg 3.29
3 Sc 0.5000 0.5000 0.0000  8 Mg 3.12
4 Ba 0.5000 0.5000 0.5000  8 Mg 3.69, 4 Ba 3.75

Summary:
- V: 29.6 Å³/atom


two:
Here is crystalline BaMg2Sc at its relaxed geometry from Alexandria via LeMat-Bulk. Energies are from PBEsol.

Cell lengths 5.5287, 5.5220, 5.5287 Å; angles 59.96, 90.00, 120.04 degrees
Closest atoms and distances in Å follow each position.
Positions (direct):
1 Mg 0.7500 0.5000 0.7500  4 Sc 3.38, 4 Ba 3.38
2 Mg 0.2500 0.5000 0.2500  4 Ba 3.38, 4 Sc 3.38
3 Ba 0.0000 0.0000 0.0000  8 Mg 3.38
4 Sc 0.5000 0.0000 0.5000  8 Mg 3.38

Summary:
- V: 29.8 Å³/atom


Least stable: two


one:
Here is crystalline BaMg2Tc at its relaxed geometry from Alexandria via LeMat-Bulk. Energies are from PBEsol.

Cell lengths 4.8904, 5.2254, 4.8904 Å; angles 62.10, 90.00, 117.90 degrees
Closest atoms and distances in Å follow each position.
Positions (direct):
1 Ba 0.7500 0.5000 0.7500  4 Tc 3.13, 8 Mg 3.13-3.46
2 Mg 0.0000 0.0000 0.0000  4 Mg 3.13, 4 Ba 3.13, 4 Tc 3.46
3 Mg 0.2500 0.5000 0.2500  4 Tc 3.13, 4 Mg 3.13, 4 Ba 3.46
4 Tc 0.5000 0.0000 0.5000  4 Ba 3.13, 8 Mg 3.13-3.46

Summary:
- V: 23.4 Å³/atom


two:
Here is crystalline BaMg2Tc at its relaxed geometry from Alexandria via LeMat-Bulk. Energies are from PBEsol.

Cell lengths 3.1503, 3.8766, 8.0143 Å; angles 90.00, 90.00, 90.00 degrees
Closest atoms and distances in Å follow each position.
Positions (direct):
1 Ba 0.5000 0.5000 0.7071  2 Ba 3.15, 4 Tc 3.34, 1 Mg 3.35
2 Mg 0.5000 0.5000 0.2885  4 Tc 2.74, 4 Mg 3.03
3 Mg 0.0000 0.0000 0.0748  1 Tc 2.84, 6 Mg 3.03-3.15
4 Tc 0.0000 0.0000 0.4296  5 Mg 2.74-2.84

Summary:
- V: 24.5 Å³/atom


Least stable: one


one:
Here is crystalline BaMnMo2 at its relaxed geometry from Alexandria via LeMat-Bulk. Energies are from PBEsol.

Cell lengths 3.0732, 3.0732, 9.4658 Å; angles 80.66, 80.66, 60.00 degrees
Closest atoms and distances in Å follow each position.
Positions (direct):
1 Ba 0.5000 0.5000 0.5000  6 Ba 3.07
2 Mo 0.7255 0.7255 0.8234  3 Mn 2.42
3 Mo 0.2745 0.2745 0.1766  3 Mn 2.42
4 Mn 0.0000 0.0000 0.0000  6 Mo 2.42

Summary:
- V: 19.0 Å³/atom


two:
Here is crystalline BaMnMo2 at its relaxed geometry from Alexandria via LeMat-Bulk. Energies are from PBEsol.

Cell lengths 3.1569, 3.1569, 9.6244 Å; angles 80.56, 80.56, 60.00 degrees
Closest atoms and distances in Å follow each position.
Positions (direct):
1 Mo 0.7297 0.7297 0.8110  3 Mo 2.51
2 Mo 0.0023 0.0023 0.9932  3 Mo 2.51, 3 Mn 2.64
3 Ba 0.4998 0.4998 0.5006  6 Ba 3.16, 3 Mn 3.41, 3 Mo 3.45
4 Mn 0.2683 0.2683 0.1952  3 Mo 2.64

Summary:
- V: 20.4 Å³/atom


Least stable: one


one:
Here is crystalline Ba2MnOs at its relaxed geometry from Alexandria via LeMat-Bulk. Energies are from PBEsol.

Cell lengths 4.1190, 5.6189, 5.9551 Å; angles 118.15, 110.23, 90.00 degrees
Closest atoms and distances in Å follow each position.
Positions (direct):
1 Ba 0.7789 0.2789 0.5579  4 Ba 3.36-3.63, 4 Mn 3.42-3.54, 4 Os 3.62
2 Ba 0.9690 0.9690 0.9380  4 Ba 3.36-3.63, 4 Os 3.44-3.51, 4 Mn 3.64
3 Os 0.1753 0.6753 0.3505  2 Mn 2.27
4 Mn 0.5768 0.5768 0.1536  2 Os 2.27

Summary:
- V: 27.9 Å³/atom


two:
Here is crystalline Ba2MnOs at its relaxed geometry from Alexandria via LeMat-Bulk. Energies are from PBEsol.

Cell lengths 4.2834, 4.9740, 6.1357 Å; angles 113.91, 90.00, 90.00 degrees
Closest atoms and distances in Å follow each position.
Positions (direct):
1 Os 0.5000 0.5852 0.1704  2 Mn 2.29
2 Mn 0.0000 0.6585 0.3169  2 Os 2.29
3 Ba 0.5000 0.2704 0.5409  3 Os 3.24-3.53, 4 Mn 3.51
4 Ba 0.0000 0.9750 0.9500  3 Mn 3.23-3.55, 4 Os 3.51

Summary:
- V: 29.9 Å³/atom


three:
Here is crystalline Ba2MnOs at its relaxed geometry from Alexandria via LeMat-Bulk. Energies are from PBEsol.

Cell lengths 4.1508, 5.1110, 5.1110 Å; angles 90.00, 90.00, 90.00 degrees
Closest atoms and distances in Å follow each position.
Positions (direct):
1 Os 0.5000 0.0000 0.0000  8 Ba 3.29, 4 Mn 3.61
2 Ba 0.0000 0.0000 0.5000  4 Mn 3.29, 4 Os 3.29, 4 Ba 3.61
3 Ba 0.0000 0.5000 0.0000  4 Mn 3.29, 4 Os 3.29, 4 Ba 3.61
4 Mn 0.5000 0.5000 0.5000  8 Ba 3.29, 4 Os 3.61

Summary:
- V: 27.1 Å³/atom


Least stable: three


one:
Here is crystalline BaMnOs2 at its relaxed geometry from Alexandria via LeMat-Bulk. Energies are from PBEsol.

Cell lengths 2.9206, 5.3845, 5.9329 Å; angles 116.99, 104.25, 90.00 degrees
Closest atoms and distances in Å follow each position.
Positions (direct):
1 Os 0.7059 0.2059 0.4119  2 Os 2.51
2 Os 0.0054 0.0054 0.0107  2 Os 2.51, 2 Mn 2.60
3 Mn 0.2933 0.7933 0.5867  2 Os 2.60
4 Ba 0.4954 0.4954 0.9907  2 Ba 2.92, 4 Os 3.06

Summary:
- V: 20.0 Å³/atom


two:
Here is crystalline BaMnOs2 at its relaxed geometry from Alexandria via LeMat-Bulk. Energies are from PBEsol.

Cell lengths 3.8985, 3.8985, 4.8604 Å; angles 90.00, 90.00, 90.00 degrees
Closest atoms and distances in Å follow each position.
Positions (direct):
1 Ba 0.5000 0.5000 0.5000  4 Mn 2.76
2 Mn 0.0000 0.0000 0.5000  4 Ba 2.76
3 Os 0.5000 0.0000 0.0000  4 Os 2.76
4 Os 0.0000 0.5000 0.0000  4 Os 2.76

Summary:
- V: 18.5 Å³/atom


Least stable: two


one:
Here is crystalline BaMn3Pt at its relaxed geometry from Alexandria via LeMat-Bulk. Energies are from PBEsol.

Cell lengths 4.9408, 4.9408, 4.9408 Å; angles 90.00, 90.00, 90.00 degrees
Closest atoms and distances in Å follow each position.
Positions (direct):
1 Mn 0.5000 0.0000 0.0000  2 Pt 2.47
2 Mn 0.0000 0.5000 0.0000  2 Pt 2.47
3 Mn 0.0000 0.0000 0.5000  2 Pt 2.47
4 Ba 0.5000 0.5000 0.5000  12 Mn 3.49
5 Pt 0.0000 0.0000 0.0000  6 Mn 2.47

Summary:
- V: 24.1 Å³/atom


two:
Here is crystalline BaMn3Pt at its relaxed geometry from Alexandria via LeMat-Bulk. Energies are from PBEsol.

Cell lengths 4.8060, 4.8060, 4.8060 Å; angles 90.00, 90.00, 90.00 degrees
Closest atoms and distances in Å follow each position.
Positions (direct):
1 Mn 0.0000 0.0000 0.5000  2 Ba 2.40
2 Mn 0.0000 0.5000 0.0000  2 Ba 2.40
3 Mn 0.5000 0.0000 0.0000  2 Ba 2.40
4 Pt 0.5000 0.5000 0.5000  12 Mn 3.40
5 Ba 0.0000 0.0000 0.0000  6 Mn 2.40

Summary:
- V: 22.2 Å³/atom


Least stable: two


one:
Here is crystalline BaMn2Ru at its relaxed geometry from Alexandria via LeMat-Bulk. Energies are from PBEsol.

Cell lengths 4.1358, 4.1358, 6.2751 Å; angles 70.76, 70.76, 60.00 degrees
Closest atoms and distances in Å follow each position.
Positions (direct):
1 Mn 0.8072 0.8072 0.5783  3 Ru 2.43, 3 Mn 2.56
2 Mn 0.1928 0.1928 0.4217  3 Ru 2.43, 3 Mn 2.56
3 Ba 0.0000 0.0000 0.0000  8 Mn 3.36-3.42, 6 Ru 3.76
4 Ru 0.5000 0.5000 0.5000  6 Mn 2.43

Summary:
- V: 21.5 Å³/atom


two:
Here is crystalline BaMn2Ru at its relaxed geometry from Alexandria via LeMat-Bulk. Energies are from PBEsol.

Cell lengths 3.2497, 4.8444, 4.8444 Å; angles 106.22, 90.00, 90.00 degrees
Closest atoms and distances in Å follow each position.
Positions (direct):
1 Mn 0.0000 0.5000 0.0000  4 Mn 2.91-3.25, 4 Ru 2.92, 4 Ba 2.92
2 Mn 0.0000 0.0000 0.5000  4 Mn 2.91-3.25, 4 Ba 2.92, 4 Ru 2.92
3 Ru 0.5000 0.0000 0.0000  2 Ba 2.91, 8 Mn 2.92, 2 Ru 3.25
4 Ba 0.5000 0.5000 0.5000  2 Ru 2.91, 8 Mn 2.92, 2 Ba 3.25

Summary:
- V: 18.3 Å³/atom


Least stable: two


one:
Here is crystalline BaScMn2 at its relaxed geometry from Alexandria via LeMat-Bulk. Energies are from PBEsol.

Cell lengths 3.3551, 4.5265, 6.6691 Å; angles 109.84, 104.57, 90.00 degrees
Closest atoms and distances in Å follow each position.
Positions (direct):
1 Mn 0.0413 0.0413 0.0826  2 Mn 2.06
2 Mn 0.6399 0.1399 0.2798  2 Mn 2.06
3 Ba 0.2914 0.7914 0.5828  2 Ba 3.36, 6 Mn 3.36-3.46, 4 Sc 3.61-3.64
4 Sc 0.5274 0.5274 0.0548  6 Mn 2.64-2.82

Summary:
- V: 23.0 Å³/atom


two:
Here is crystalline BaScMn2 at its relaxed geometry from Alexandria via LeMat-Bulk. Energies are from PBEsol.

Cell lengths 3.3931, 5.1241, 5.1241 Å; angles 90.00, 90.00, 90.00 degrees
Closest atoms and distances in Å follow each position.
Positions (direct):
1 Mn 0.0000 0.5000 0.0000  4 Sc 3.07, 4 Ba 3.07, 2 Mn 3.39
2 Mn 0.0000 0.0000 0.5000  4 Sc 3.07, 4 Ba 3.07, 2 Mn 3.39
3 Sc 0.5000 0.5000 0.5000  8 Mn 3.07, 2 Sc 3.39
4 Ba 0.5000 0.0000 0.0000  8 Mn 3.07, 2 Ba 3.39

Summary:
- V: 22.3 Å³/atom


Least stable: two